Record 1
This record from OQMD describes TbDy2Ge4Au4 after structural relaxation. The functional is PBE-GGA.

Summary:
Total magnetic moment in μB per formula unit: 0.00

Cell lengths 4.112, 4.366, 25.868 Å; angles 90.00, 90.00, 90.00 degrees
Space group Immm (No. 71)
Inequivalent atoms, fractional coordinates:
Tb 0.000 0.000 0.000 (multiplicity 2)
Dy 0.000 0.500 0.149 (multiplicity 4)
Ge 0.000 0.000 0.452 (multiplicity 4)
Ge 0.000 0.500 0.311 (multiplicity 4)
Au 0.000 0.000 0.254 (multiplicity 4)
Au 0.000 0.500 0.407 (multiplicity 4)

Record 2
This record from OQMD describes Er2Al2Pd3Pt after structural relaxation. The functional is PBE-GGA.

Summary:
Total magnetic moment in μB per formula unit: 0.01

Cell lengths 4.3526, 4.3526, 9.0827 Å; angles 90.00, 90.00, 120.00 degrees
Space group P3m1 (No. 156)
Inequivalent atoms, fractional coordinates:
Er 0.0000 0.0000 0.0000 (multiplicity 1)
Er 0.3333 0.6667 0.4956 (multiplicity 1)
Al 0.6667 0.3333 0.2412 (multiplicity 1)
Al 0.6667 0.3333 0.7457 (multiplicity 1)
Pd 0.0000 0.0000 0.3334 (multiplicity 1)
Pd 0.0000 0.0000 0.6653 (multiplicity 1)
Pd 0.3333 0.6667 0.8271 (multiplicity 1)
Pt 0.3333 0.6667 0.1659 (multiplicity 1)

Record 3
This record from OQMD describes ZnAg2SnS4 after structural relaxation. The functional is PBE-GGA.

Cell lengths 5.654, 5.654, 11.674 Å; angles 90.00, 90.00, 90.00 degrees
Space group I-42m (No. 121)
Inequivalent atoms, fractional coordinates:
Zn 0.000 0.000 0.000 (multiplicity 2)
Ag 0.000 0.500 0.250 (multiplicity 4)
Sn 0.000 0.000 0.500 (multiplicity 2)
S 0.245 0.245 0.117 (multiplicity 8)

| no. | E (eV per atom) |
| --- | --- |
| 1 | -4.767 |
| 2 | -5.806 |
| 3 | -3.801 |